Compound: SiHg2Au
Source: the Alexandria database
Functional: GGA-PBE
Structure: relaxed

Properties
energy relative to the elements, uncorrected	0.321	eV per atom
ρ	11.99	g cm⁻³
N(E_F)	3.0	states/eV/cell

a = 10.963 Å, b = 10.963 Å, c = 10.963 Å
α = 158.72°, β = 158.72°, γ = 30.27°
Positions (direct):
Si  0.000  0.000  0.000
Si  0.750  0.250  0.500
Hg  0.123  0.625  0.998
Hg  0.375  0.373  0.498
Hg  0.627  0.125  0.002
Hg  0.875  0.877  0.502
Au  0.250  0.750  0.500
Au  0.500  0.500  0.000